# 1
Below is an optimized crystal structure of BeAsPSe2, with properties calculated at the PBE level.

```
5
Lattice="-2.2473 3.7544 2.1658 -3.7039 -2.9305 1.2367 2.1334 -1.0177 3.9779" Properties=species:S:1:pos:R:3 pbc="T T T"
Be -1.9089 -0.0969 3.6902
P 0.0000 0.0000 0.0000
Se -1.8519 -1.4653 0.6184
Se -1.1237 1.8772 1.0829
As 1.0667 -0.5088 1.9889
```

Calculated values
Raw total energy ... -3.19 eV/atom
E_form (uncorrected) ... 0.9581 eV/atom
Energy above the most stable polymorph in this dataset ... 30.7 kJ per mole of atoms
Crystal system ... tetragonal


# 2
Below is an optimized crystal structure of BeAsPSe2, with properties calculated at the PBE level.

```
5
Lattice="4.4967 0.0000 0.0000 0.0000 4.4967 0.0000 0.0000 0.0000 4.5466" Properties=species:S:1:pos:R:3 pbc="T T T"
P 2.2483 2.2483 2.2733
As 0.0000 0.0000 2.2733
Be 0.0000 0.0000 0.0000
Se 0.0000 2.2483 0.0000
Se 2.2483 0.0000 0.0000
```

Calculated values
Raw total energy ... -3.51 eV/atom
E_form (uncorrected) ... 0.6399 eV/atom
Energy above the most stable polymorph in this dataset ... 0.0 kJ per mole of atoms
Crystal system ... tetragonal


# 3
Below is an optimized crystal structure of BeAs2PSe, with properties calculated at the PBE level.

```
5
Lattice="4.4437 0.0000 0.0000 0.0000 4.4437 0.0000 0.0000 0.0000 4.6004" Properties=species:S:1:pos:R:3 pbc="T T T"
Be 0.0000 0.0000 0.0000
As 0.0000 2.2219 0.0000
As 2.2219 0.0000 0.0000
P 2.2219 2.2219 2.3002
Se 0.0000 0.0000 2.3002
```

Calculated values
Raw total energy ... -3.69 eV/atom
E_form (uncorrected) ... 0.6899 eV/atom
Energy above the most stable polymorph in this dataset ... 0.0 kJ per mole of atoms
Crystal system ... tetragonal


# 4
Below is an optimized crystal structure of BeAs2PSe, with properties calculated at the PBE level.

```
5
Lattice="-3.8573 1.2949 2.2831 -2.5766 -2.6420 -2.8547 0.5305 -3.8374 3.0726" Properties=species:S:1:pos:R:3 pbc="T T T"
Be -2.9517 -2.5922 1.2505
As -1.9287 0.6474 1.1416
As -1.2883 -1.3210 -1.4274
P 0.0000 0.0000 0.0000
Se 0.2652 -1.9187 1.5363
```

Calculated values
Raw total energy ... -3.36 eV/atom
E_form (uncorrected) ... 1.0288 eV/atom
Energy above the most stable polymorph in this dataset ... 32.7 kJ per mole of atoms
Crystal system ... tetragonal


# 5
Below is an optimized crystal structure of BeZn2AsP, with properties calculated at the PBE level.

```
5
Lattice="4.8266 0.0000 0.0000 0.0000 3.8702 0.0000 0.0000 0.0000 4.8266" Properties=species:S:1:pos:R:3 pbc="T T T"
Zn 2.4133 0.0000 0.0000
Zn 0.0000 0.0000 2.4133
Be 0.0000 1.9351 0.0000
As 2.4133 1.9351 2.4133
P 0.0000 0.0000 0.0000
```

Calculated values
Raw total energy ... -2.90 eV/atom
Crystal system ... tetragonal


# 6
Below is an optimized crystal structure of Pa2BeAs, with properties calculated at the PBE level.

```
4
Lattice="-0.7938 2.0392 2.4830 1.0175 -0.6662 3.0781 8.5538 5.7708 0.2008" Properties=species:S:1:pos:R:3 pbc="T T T"
Pa 6.0916 4.2280 0.6808
Pa 2.6858 2.9158 5.0812
As 4.3887 3.5719 2.8810
Be 0.0000 0.0000 0.0000
```

Calculated values
Raw total energy ... -6.28 eV/atom
Crystal system ... trigonal


# 7
Below is an optimized crystal structure of PaBeAs, with properties calculated at the PBE level.

```
6
Lattice="-3.2942 0.3559 2.5001 2.1371 -1.1503 3.3673 2.2060 6.9630 -1.7224" Properties=species:S:1:pos:R:3 pbc="T T T"
Pa 1.5661 5.3498 -0.5168
Pa -0.5172 0.8188 4.6617
As 0.9946 4.9805 2.4215
As 0.0543 1.1881 1.7234
Be 0.3118 2.9385 3.1507
Be 0.7370 3.2301 0.9942
```

Calculated values
Raw total energy ... -6.24 eV/atom
Energy above the most stable polymorph in this dataset ... 29.6 kJ per mole of atoms
Crystal system ... orthorhombic


# 8
Below is an optimized crystal structure of PaBeAs, with properties calculated at the PBE level.

```
3
Lattice="4.2390 0.0000 0.0000 0.0000 3.7779 0.0000 0.0000 -1.8890 3.2718" Properties=species:S:1:pos:R:3 pbc="T T T"
Pa 2.8257 1.8890 1.0906
As 0.7059 0.0000 0.0000
Be 0.7074 0.0000 2.1812
```

Calculated values
Raw total energy ... -6.55 eV/atom
Energy above the most stable polymorph in this dataset ... 0.0 kJ per mole of atoms
Crystal system ... hexagonal


# 9
Below is an optimized crystal structure of SrPaBeAs3, with properties calculated at the PBE level.

```
12
Lattice="4.0825 0.0000 0.0000 0.0000 8.6849 0.1480 0.0000 -2.1379 8.6579" Properties=species:S:1:pos:R:3 pbc="T T T"
As 3.0619 0.5419 4.4989
As 1.0206 6.0050 4.3069
As 3.0619 7.4528 1.3548
As 1.0206 -0.9059 7.4510
As 1.0206 3.0161 7.3170
As 3.0619 3.5308 1.4888
Be 1.0206 -0.5570 5.1669
Be 3.0619 7.1039 3.6389
Pa 3.0619 1.0325 7.2748
Pa 1.0206 5.5145 1.5311
Sr 1.0206 1.1070 2.0686
Sr 3.0619 5.4400 6.7373
```

Calculated values
Raw total energy ... -5.63 eV/atom
Crystal system ... monoclinic


# 10
Below is an optimized crystal structure of BeAs2Pb, with properties calculated at the PBE level.

```
4
Lattice="3.3147 0.0000 0.0000 0.0000 3.3147 0.0000 0.0000 0.0000 7.3108" Properties=species:S:1:pos:R:3 pbc="T T T"
As 0.0000 0.0000 3.0667
As 0.0000 0.0000 0.5887
Be 1.6573 1.6574 1.8277
Pb 1.6573 1.6574 5.4831
```

Calculated values
Raw total energy ... -3.86 eV/atom
Crystal system ... tetragonal


# 11
Below is an optimized crystal structure of Be3As3Pb, with properties calculated at the PBE level.

```
14
Lattice="3.8559 0.0000 0.0000 0.0000 7.9462 -4.5832 0.0000 -0.0054 9.1683" Properties=species:S:1:pos:R:3 pbc="T T T"
Pb 0.9640 5.2956 0.0017
Pb 2.8920 2.6451 4.5833
Be 2.8920 3.2582 -1.3448
Be 0.9640 4.6825 5.9299
Be 0.9640 0.4598 5.6750
Be 0.9640 2.7906 2.1468
Be 2.8920 5.1501 2.4382
Be 2.8920 7.4810 -1.0900
As 0.9640 4.8743 3.6051
As 0.9640 0.6820 3.1434
As 2.8920 7.2588 1.4417
As 0.9640 2.3782 7.0030
As 2.8920 3.0665 0.9800
As 2.8920 5.5625 -2.4179
```

Calculated values
Raw total energy ... -4.06 eV/atom
Crystal system ... hexagonal


# 12
Below is an optimized crystal structure of BeAs2Pb, with properties calculated at the PBE level.

```
4
Lattice="0.0000 3.4644 3.4644 3.4644 0.0000 3.4644 3.4644 3.4644 0.0000" Properties=species:S:1:pos:R:3 pbc="T T T"
Pb 3.4644 3.4644 3.4644
As 5.1966 5.1966 5.1966
As 1.7322 1.7322 1.7322
Be 0.0000 0.0000 0.0000
```

Calculated values
Raw total energy ... -3.56 eV/atom
Crystal system ... cubic


# 13
Below is an optimized crystal structure of BeAs2Pb, with properties calculated at the PBE level.

```
4
Lattice="-2.2526 1.7828 -5.5373 2.8156 -0.2232 -5.5621 -1.2752 -3.2855 5.1472" Properties=species:S:1:pos:R:3 pbc="T T T"
Pb -1.6232 -0.3614 -2.9699
Be 0.9109 -1.3644 -2.9823
As 0.2815 0.7798 -5.5497
As 0.0000 0.0000 0.0000
```

Calculated values
Raw total energy ... -3.60 eV/atom
Crystal system ... tetragonal


# 14
Below is an optimized crystal structure of BeAsPb4, with properties calculated at the PBE level.

```
6
Lattice="0.0000 4.5061 4.5061 4.5061 0.0000 4.5061 4.5061 4.5061 0.0000" Properties=species:S:1:pos:R:3 pbc="T T T"
Pb 3.3766 3.3766 3.3766
Pb 5.6357 5.6357 3.3766
Pb 3.3766 5.6357 5.6357
Pb 5.6357 3.3766 5.6357
As 6.7592 6.7592 6.7592
Be 0.0000 0.0000 0.0000
```

Calculated values
Raw total energy ... -3.06 eV/atom
Crystal system ... cubic